# Sr2Fe2O, optimized geometry, DFT PBE with a Hubbard U
# - Offset from the most stable computed form: 740 meV/atom
data_Sr2Fe2O
_chemical_formula_sum 'Sr4 Fe4 O2'
_cell_length_a 7.342
_cell_length_b 7.342
_cell_length_c 4.656
_cell_angle_alpha 90.00
_cell_angle_beta 90.00
_cell_angle_gamma 90.00
_symmetry_space_group_name_H-M 'P 4/m b m'
_symmetry_Int_Tables_number 127
_symmetry_space_group_name_Hall '-P 4 2ab'
loop_
_atom_site_label
_atom_site_type_symbol
_atom_site_fract_x
_atom_site_fract_y
_atom_site_fract_z
Sr1 Sr 0.178 0.322 0.000
Fe1 Fe 0.131 0.631 0.500
O1 O 0.000 0.000 0.500